1.
PBE-GGA V2CoAu, relaxed; density = 10.323 g/cm3; formation energy from the elements = 0.22 eV per atom; offset from the most stable computed form = 22.8 kJ per mole of atoms; symmetry = Fm-3m, No. 225; D(E_F) = 1.616 states/eV/atom
1.0
4.3342 0.0000 0.0000
2.1671 3.7535 0.0000
2.1671 1.2512 3.5377
Au V Co
1 2 1
Direct
0.5000 0.5000 0.5000
0.2499 0.2499 0.2502
0.7501 0.7501 0.7498
0.0000 0.0000 0.0000


2.
PBE-GGA LaCrPt2, relaxed; density = 11.342 g/cm3; formation energy from the elements = -0.50 eV per atom; offset from the most stable computed form = 15.9 kJ per mole of atoms; symmetry = Amm2, No. 38; D(E_F) = 0.811 states/eV/atom
1.0
4.3010 0.0000 0.0000
0.0000 3.7647 0.2575
0.0000 1.5274 5.3583
Cr La Pt
1 1 2
Direct
0.0000 0.4888 0.3975
0.5000 0.7709 0.8328
0.5000 0.0349 0.3058
0.0000 0.2053 0.9638